Entry 1:
KNiHC2S2N4: optimized geometry, PBE-GGA.

abc: 4.113 18.115 10.160
angles: 90.00 94.33 90.00
Fractional positions:
K  0.239  0.075  0.137
K  0.239  0.425  0.637
K  0.761  0.575  0.363
K  0.761  0.925  0.863
Ni  0.316  0.116  0.698
Ni  0.316  0.384  0.198
Ni  0.684  0.616  0.802
Ni  0.684  0.884  0.302
H  0.052  0.604  0.024
H  0.052  0.896  0.524
H  0.948  0.104  0.476
H  0.948  0.396  0.976
C  0.256  0.016  0.674
C  0.256  0.484  0.174
C  0.434  0.596  0.652
C  0.434  0.904  0.152
C  0.566  0.096  0.848
C  0.566  0.404  0.348
C  0.744  0.516  0.826
C  0.744  0.984  0.326
S  0.017  0.725  0.992
S  0.017  0.775  0.492
S  0.385  0.230  0.738
S  0.385  0.270  0.238
S  0.615  0.730  0.762
S  0.615  0.770  0.262
S  0.983  0.225  0.508
S  0.983  0.275  0.008
N  0.060  0.140  0.546
N  0.060  0.360  0.046
N  0.168  0.227  0.116
N  0.168  0.273  0.616
N  0.220  0.548  0.169
N  0.220  0.952  0.669
N  0.279  0.581  0.553
N  0.279  0.919  0.053
N  0.721  0.081  0.947
N  0.721  0.419  0.447
N  0.780  0.048  0.331
N  0.780  0.452  0.831
N  0.832  0.727  0.384
N  0.832  0.773  0.884
N  0.940  0.640  0.954
N  0.940  0.860  0.454

Entry 2:
K3H2OsC4SN4O3: optimized geometry, PBE-GGA.

abc: 7.915 8.768 8.913
angles: 83.49 63.74 81.45
Fractional positions:
K  0.007  0.252  0.080
K  0.228  0.376  0.571
K  0.234  0.850  0.437
K  0.766  0.150  0.563
K  0.772  0.624  0.429
K  0.993  0.748  0.920
H  0.046  0.043  0.777
H  0.259  0.041  0.737
H  0.741  0.959  0.263
H  0.954  0.957  0.223
Os  0.497  0.340  0.060
Os  0.503  0.660  0.940
C  0.295  0.219  0.235
C  0.312  0.847  0.003
C  0.413  0.633  0.763
C  0.420  0.284  0.885
C  0.580  0.716  0.115
C  0.587  0.367  0.237
C  0.688  0.153  0.997
C  0.705  0.781  0.765
S  0.248  0.543  0.157
S  0.752  0.457  0.843
N  0.163  0.162  0.339
N  0.185  0.946  0.048
N  0.357  0.637  0.660
N  0.381  0.238  0.786
N  0.619  0.762  0.214
N  0.643  0.363  0.340
N  0.815  0.054  0.952
N  0.837  0.838  0.661
O  0.078  0.534  0.127
O  0.176  0.029  0.685
O  0.184  0.590  0.332
O  0.816  0.410  0.668
O  0.824  0.971  0.315
O  0.922  0.466  0.873

Entry 3:
KTbH2C2SO9: optimized geometry, PBE-GGA.

abc: 6.482 8.429 14.414
angles: 90.00 112.71 90.00
Fractional positions:
K  0.038  0.152  0.302
K  0.038  0.348  0.802
K  0.962  0.652  0.198
K  0.962  0.848  0.698
Tb  0.327  0.247  0.584
Tb  0.327  0.253  0.084
Tb  0.673  0.747  0.916
Tb  0.673  0.753  0.416
H  0.031  0.035  0.917
H  0.031  0.465  0.417
H  0.271  0.033  0.914
H  0.271  0.467  0.414
H  0.729  0.533  0.586
H  0.729  0.967  0.086
H  0.969  0.535  0.583
H  0.969  0.965  0.083
C  0.364  0.537  0.732
C  0.364  0.963  0.232
C  0.413  0.040  0.780
C  0.413  0.460  0.280
C  0.587  0.540  0.720
C  0.587  0.960  0.220
C  0.636  0.037  0.768
C  0.636  0.463  0.268
S  0.264  0.665  0.027
S  0.264  0.835  0.527
S  0.736  0.165  0.473
S  0.736  0.335  0.973
O  0.055  0.742  0.959
O  0.055  0.758  0.459
O  0.176  0.091  0.944
O  0.176  0.409  0.444
O  0.212  0.048  0.169
O  0.212  0.452  0.669
O  0.248  0.008  0.501
O  0.248  0.492  0.001
O  0.263  0.132  0.724
O  0.263  0.368  0.224
O  0.296  0.685  0.133
O  0.296  0.815  0.633
O  0.345  0.612  0.804
O  0.345  0.888  0.304
O  0.395  0.552  0.347
O  0.395  0.948  0.847
O  0.454  0.737  0.010
O  0.454  0.763  0.510
O  0.546  0.237  0.490
O  0.546  0.263  0.990
O  0.605  0.052  0.153
O  0.605  0.448  0.653
O  0.655  0.112  0.696
O  0.655  0.388  0.196
O  0.704  0.185  0.367
O  0.704  0.315  0.867
O  0.737  0.632  0.776
O  0.737  0.868  0.276
O  0.752  0.508  0.999
O  0.752  0.992  0.499
O  0.788  0.548  0.331
O  0.788  0.952  0.831
O  0.824  0.591  0.556
O  0.824  0.909  0.056
O  0.945  0.242  0.541
O  0.945  0.258  0.041

Entry 4:
KTbH6C4O11: optimized geometry, PBE-GGA.

abc: 11.624 11.624 12.552
angles: 100.23 100.23 36.01
Fractional positions:
K  0.070  0.096  0.366
K  0.096  0.070  0.866
K  0.904  0.930  0.134
K  0.930  0.904  0.634
Tb  0.360  0.366  0.486
Tb  0.366  0.360  0.986
Tb  0.634  0.640  0.014
Tb  0.640  0.634  0.514
H  0.041  0.856  0.897
H  0.045  0.318  0.636
H  0.058  0.357  0.525
H  0.062  0.816  0.361
H  0.063  0.311  0.220
H  0.144  0.959  0.603
H  0.184  0.938  0.139
H  0.207  0.245  0.798
H  0.245  0.207  0.298
H  0.311  0.063  0.720
H  0.318  0.045  0.136
H  0.357  0.058  0.025
H  0.643  0.942  0.975
H  0.682  0.955  0.864
H  0.689  0.937  0.280
H  0.755  0.793  0.702
H  0.793  0.755  0.202
H  0.816  0.062  0.861
H  0.856  0.041  0.397
H  0.937  0.689  0.780
H  0.938  0.184  0.639
H  0.942  0.643  0.475
H  0.955  0.682  0.364
H  0.959  0.144  0.103
C  0.062  0.395  0.990
C  0.261  0.432  0.729
C  0.312  0.471  0.245
C  0.395  0.062  0.490
C  0.400  0.596  0.973
C  0.404  0.600  0.527
C  0.432  0.261  0.229
C  0.471  0.312  0.745
C  0.529  0.688  0.255
C  0.568  0.739  0.771
C  0.596  0.400  0.473
C  0.600  0.404  0.027
C  0.605  0.938  0.510
C  0.688  0.529  0.755
C  0.739  0.568  0.271
C  0.938  0.605  0.010
O  0.021  0.635  0.007
O  0.029  0.616  0.434
O  0.033  0.046  0.650
O  0.046  0.033  0.150
O  0.174  0.497  0.637
O  0.180  0.197  0.742
O  0.187  0.460  0.811
O  0.197  0.180  0.242
O  0.241  0.264  0.972
O  0.264  0.241  0.472
O  0.265  0.629  0.961
O  0.266  0.548  0.340
O  0.270  0.547  0.161
O  0.293  0.616  0.556
O  0.365  0.979  0.493
O  0.371  0.735  0.539
O  0.384  0.707  0.944
O  0.384  0.971  0.066
O  0.452  0.734  0.160
O  0.453  0.730  0.339
O  0.460  0.187  0.311
O  0.497  0.174  0.137
O  0.503  0.826  0.863
O  0.540  0.813  0.689
O  0.547  0.270  0.661
O  0.548  0.266  0.840
O  0.616  0.029  0.934
O  0.616  0.293  0.056
O  0.629  0.265  0.461
O  0.635  0.021  0.507
O  0.707  0.384  0.444
O  0.730  0.453  0.839
O  0.734  0.452  0.660
O  0.735  0.371  0.039
O  0.736  0.759  0.528
O  0.759  0.736  0.028
O  0.803  0.820  0.758
O  0.813  0.540  0.189
O  0.820  0.803  0.258
O  0.826  0.503  0.363
O  0.954  0.967  0.850
O  0.967  0.954  0.350
O  0.971  0.384  0.566
O  0.979  0.365  0.993

Entry 5:
LiZnHCO4: optimized geometry, PBE-GGA.

abc: 3.259 5.268 9.516
angles: 90.00 90.00 90.00
Fractional positions:
Li  0.000  0.166  0.000
Li  0.500  0.834  0.500
Zn  0.000  0.423  0.345
Zn  0.500  0.577  0.845
H  0.000  0.627  0.042
H  0.500  0.373  0.542
C  0.000  0.942  0.272
C  0.500  0.058  0.772
O  0.000  0.149  0.198
O  0.000  0.525  0.954
O  0.000  0.723  0.211
O  0.000  0.962  0.408
O  0.500  0.038  0.908
O  0.500  0.277  0.711
O  0.500  0.475  0.454
O  0.500  0.851  0.698

Entry 6:
NbH6C4NO10: optimized geometry, PBE-GGA.

abc: 9.125 9.125 5.063
angles: 90.00 90.00 104.82
Fractional positions:
Nb  0.098  0.902  0.750
Nb  0.902  0.098  0.250
H  0.199  0.642  0.733
H  0.358  0.801  0.767
H  0.382  0.580  0.583
H  0.411  0.444  0.786
H  0.420  0.618  0.917
H  0.444  0.411  0.214
H  0.556  0.589  0.714
H  0.580  0.382  0.417
H  0.589  0.556  0.286
H  0.618  0.420  0.083
H  0.642  0.199  0.267
H  0.801  0.358  0.233
C  0.064  0.379  0.558
C  0.148  0.383  0.296
C  0.379  0.064  0.442
C  0.383  0.148  0.704
C  0.617  0.852  0.204
C  0.621  0.936  0.942
C  0.852  0.617  0.796
C  0.936  0.621  0.058
N  0.440  0.560  0.750
N  0.560  0.440  0.250
O  0.005  0.005  0.500
O  0.043  0.741  0.085
O  0.082  0.279  0.131
O  0.103  0.482  0.726
O  0.244  0.756  0.750
O  0.259  0.957  0.415
O  0.274  0.474  0.260
O  0.279  0.082  0.869
O  0.474  0.274  0.740
O  0.482  0.103  0.274
O  0.518  0.897  0.774
O  0.526  0.726  0.240
O  0.721  0.918  0.369
O  0.726  0.526  0.760
O  0.741  0.043  0.915
O  0.756  0.244  0.250
O  0.897  0.518  0.226
O  0.918  0.721  0.631
O  0.957  0.259  0.585
O  0.995  0.995  0.000

Short version: E_tot = -6.366, -6.761, -6.723, -6.575, -5.986, -6.797 eV per atom, in the order given.